Computed, not measured: crystalline Ca2YZr at its relaxed geometry at the PBE level of DFT.

Its crystal system is tetragonal. The calculation puts the calculated volume at 131 Å³ per cell. For the excess energy over the best structure of this formula in the dataset, the calculation gives 17.96 kJ per mole of atoms. Its symmetry is I-4m2.

a = 6.1380 Å, b = 6.1380 Å, c = 6.1380 Å
α = 130.49°, β = 130.49°, γ = 72.62°
Last column: nearest neighbours and their distance in Å.
Atoms (fractional coordinates):
Y 0.5000 0.5000 0.0000  4 Zr 3.57, 8 Ca 3.57-3.63
Ca 0.0000 0.0000 0.0000  4 Zr 3.57, 4 Ca 3.57, 4 Y 3.63
Ca 0.2500 0.7500 0.5000  4 Ca 3.57, 4 Y 3.57, 4 Zr 3.63
Zr 0.7500 0.2500 0.5000  8 Ca 3.57-3.63, 4 Y 3.57


Computed, not measured: crystalline Ca2YZr at its relaxed geometry at the PBE level of DFT.

Its crystal system is orthorhombic. The calculation puts the calculated volume at 128 Å³ per cell. For the excess energy over the best structure of this formula in the dataset, the calculation gives 16.10 kJ per mole of atoms. Its symmetry is Cmmm.

a = 3.3932 Å, b = 3.3932 Å, c = 11.8480 Å
α = 90.00°, β = 90.00°, γ = 110.09°
Last column: nearest neighbours and their distance in Å.
Atoms (fractional coordinates):
Y 0.5000 0.5000 0.2500  4 Y 3.39, 4 Ca 3.68
Ca 0.0000 0.0000 0.9862  4 Ca 3.39, 2 Zr 3.41, 2 Y 3.68
Ca 0.0000 0.0000 0.5138  4 Ca 3.39, 2 Zr 3.41, 2 Y 3.68
Zr 0.5000 0.5000 0.7500  4 Zr 3.39, 4 Ca 3.41


Computed, not measured: crystalline CaY2Zr at its relaxed geometry at the PBE level of DFT.

Its crystal system is orthorhombic. The calculation puts the calculated volume at 126 Å³ per cell. For the excess energy over the best structure of this formula in the dataset, the calculation gives 0.00 kJ per mole of atoms. Its symmetry is Cmmm.

a = 3.5165 Å, b = 3.5165 Å, c = 10.2260 Å
α = 90.00°, β = 90.00°, γ = 90.24°
Last column: nearest neighbours and their distance in Å.
Atoms (fractional coordinates):
Y 0.0000 0.0000 0.0352  4 Zr 3.31-3.32, 4 Y 3.52
Y 0.0000 0.0000 0.4648  4 Zr 3.31-3.32, 4 Y 3.52
Ca 0.5000 0.5000 0.7500  4 Ca 3.52, 8 Y 3.83-3.84
Zr 0.5000 0.5000 0.2500  8 Y 3.31-3.32, 4 Zr 3.52


Computed, not measured: crystalline CaY2Zr at its relaxed geometry at the PBE level of DFT.

Its crystal system is cubic. The calculation puts the calculated volume at 123 Å³ per cell. For the excess energy over the best structure of this formula in the dataset, the calculation gives 21.75 kJ per mole of atoms. Its symmetry is F-43m.

a = 5.5861 Å, b = 5.5861 Å, c = 5.5861 Å
α = 60.00°, β = 60.00°, γ = 60.00°
Last column: nearest neighbours and their distance in Å.
Atoms (fractional coordinates):
Y 0.0000 0.0000 0.0000  4 Zr 3.42, 4 Y 3.42
Y 0.2500 0.2500 0.2500  4 Y 3.42, 4 Ca 3.42
Ca 0.5000 0.5000 0.5000  4 Y 3.42, 4 Zr 3.42
Zr 0.7500 0.7500 0.7500  4 Ca 3.42, 4 Y 3.42


Computed, not measured: crystalline Ca2YZr at its relaxed geometry at the PBE level of DFT.

Its crystal system is cubic. The calculation puts the calculated volume at 129 Å³ per cell. For the excess energy over the best structure of this formula in the dataset, the calculation gives 19.78 kJ per mole of atoms. Its symmetry is F-43m.

a = 5.6664 Å, b = 5.6664 Å, c = 5.6664 Å
α = 60.00°, β = 60.00°, γ = 60.00°
Last column: nearest neighbours and their distance in Å.
Atoms (fractional coordinates):
Y 0.5000 0.5000 0.5000  4 Zr 3.47, 4 Ca 3.47
Ca 0.0000 0.0000 0.0000  4 Zr 3.47, 4 Ca 3.47
Ca 0.2500 0.2500 0.2500  4 Ca 3.47, 4 Y 3.47
Zr 0.7500 0.7500 0.7500  4 Y 3.47, 4 Ca 3.47


Computed, not measured: crystalline Ca3YZr at its relaxed geometry at the PBE level of DFT.

Its crystal system is cubic. The calculation puts the calculated volume at 187 Å³ per cell. For the excess energy over the best structure of this formula in the dataset, the calculation gives 0.00 kJ per mole of atoms. Its symmetry is Pm-3m.

a = 5.7212 Å, b = 5.7212 Å, c = 5.7212 Å
α = 90.00°, β = 90.00°, γ = 90.00°
Last column: nearest neighbours and their distance in Å.
Atoms (fractional coordinates):
Y 0.5000 0.5000 0.5000  12 Ca 4.05
Ca 0.0000 0.5000 0.0000  2 Zr 2.86
Ca 0.0000 0.0000 0.5000  2 Zr 2.86
Ca 0.5000 0.0000 0.0000  2 Zr 2.86
Zr 0.0000 0.0000 0.0000  6 Ca 2.86


Computed, not measured: crystalline Ca2YZr at its relaxed geometry at the PBE level of DFT.

Its crystal system is tetragonal. The calculation puts the calculated volume at 131 Å³ per cell. For the excess energy over the best structure of this formula in the dataset, the calculation gives 19.59 kJ per mole of atoms. Its symmetry is I4/mmm.

a = 6.3765 Å, b = 6.3765 Å, c = 6.3765 Å
α = 134.32°, β = 134.32°, γ = 66.59°
Last column: nearest neighbours and their distance in Å.
Atoms (fractional coordinates):
Y 0.2500 0.7500 0.5000  4 Zr 3.50, 8 Ca 3.64
Ca 0.0000 0.0000 0.0000  4 Ca 3.50, 4 Zr 3.64, 4 Y 3.64
Ca 0.5000 0.5000 0.0000  4 Ca 3.50, 4 Y 3.64, 4 Zr 3.64
Zr 0.7500 0.2500 0.5000  4 Y 3.50, 8 Ca 3.64


Computed, not measured: crystalline Ca2YZr at its relaxed geometry at the PBE level of DFT.

Its crystal system is orthorhombic. The calculation puts the calculated volume at 131 Å³ per cell. For the excess energy over the best structure of this formula in the dataset, the calculation gives 16.32 kJ per mole of atoms. Its symmetry is Imm2.

a = 6.9057 Å, b = 6.9057 Å, c = 6.9057 Å
α = 149.52°, β = 127.48°, γ = 61.95°
Last column: nearest neighbours and their distance in Å.
Atoms (fractional coordinates):
Y 0.4777 0.4777 0.0000  2 Zr 3.17
Ca 0.0154 0.0154 0.0000  2 Zr 3.40, 4 Y 3.58, 4 Ca 3.63-3.64
Ca 0.7486 0.2486 0.5000  4 Zr 3.56, 4 Ca 3.63-3.64, 2 Y 3.69
Zr 0.2582 0.7582 0.5000  2 Y 3.17, 2 Ca 3.40


Computed, not measured: crystalline CaY2Zr at its relaxed geometry at the PBE level of DFT.

Its crystal system is tetragonal. The calculation puts the calculated volume at 122 Å³ per cell. For the excess energy over the best structure of this formula in the dataset, the calculation gives 17.54 kJ per mole of atoms. Its symmetry is P4/mmm.

a = 5.8186 Å, b = 5.8186 Å, c = 3.6120 Å
α = 90.00°, β = 90.00°, γ = 90.00°
Last column: nearest neighbours and their distance in Å.
Atoms (fractional coordinates):
Y 0.0000 0.0000 0.0000  4 Zr 3.42, 4 Ca 3.42, 2 Y 3.61
Y 0.5000 0.5000 0.0000  4 Zr 3.42, 4 Ca 3.42, 2 Y 3.61
Ca 0.0000 0.5000 0.5000  8 Y 3.42, 2 Ca 3.61
Zr 0.5000 0.0000 0.5000  8 Y 3.42, 2 Zr 3.61


Computed, not measured: crystalline CaY2Zr at its relaxed geometry at the PBE level of DFT.

Its crystal system is trigonal. The calculation puts the calculated volume at 125 Å³ per cell. For the excess energy over the best structure of this formula in the dataset, the calculation gives 2.02 kJ per mole of atoms. Its symmetry is R3m.

a = 3.5135 Å, b = 3.5135 Å, c = 11.8702 Å
α = 81.49°, β = 81.49°, γ = 60.00°
Last column: nearest neighbours and their distance in Å.
Atoms (fractional coordinates):
Ca 0.5003 0.5003 0.4990  6 Ca 3.51, 6 Y 3.80-3.83
Y 0.0744 0.0744 0.7767  3 Zr 3.31, 6 Y 3.51
Y 0.2587 0.2587 0.2238  3 Zr 3.31, 6 Y 3.51
Zr 0.6665 0.6665 0.0006  6 Y 3.31, 6 Zr 3.51


Computed, not measured: crystalline CaYZr4 at its relaxed geometry at the PBE level of DFT.

Its crystal system is cubic. The electronic total energy is -0.502 Ry per atom. The calculation puts the calculated volume at 164 Å³ per cell. Its symmetry is F-43m.

a = 6.1466 Å, b = 6.1466 Å, c = 6.1466 Å
α = 60.00°, β = 60.00°, γ = 60.00°
Last column: nearest neighbours and their distance in Å.
Atoms (fractional coordinates):
Ca 0.7500 0.7500 0.7500  12 Zr 3.61, 4 Y 3.76
Y 0.0000 0.0000 0.0000  12 Zr 3.60, 4 Ca 3.76
Zr 0.8832 0.3723 0.3723  6 Zr 3.01-3.14
Zr 0.3723 0.3723 0.8832  6 Zr 3.01-3.14
Zr 0.3723 0.8832 0.3723  6 Zr 3.01-3.14
Zr 0.3723 0.3723 0.3723  6 Zr 3.01-3.14


Computed, not measured: crystalline Ca3YZr at its relaxed geometry at the PBE level of DFT.

Its crystal system is cubic. The calculation puts the calculated volume at 187 Å³ per cell. For the excess energy over the best structure of this formula in the dataset, the calculation gives 39.51 kJ per mole of atoms. Its symmetry is Pm-3m.

a = 5.7193 Å, b = 5.7193 Å, c = 5.7193 Å
α = 90.00°, β = 90.00°, γ = 90.00°
Last column: nearest neighbours and their distance in Å.
Atoms (fractional coordinates):
Y 0.0000 0.0000 0.0000  6 Ca 2.86
Ca 0.0000 0.5000 0.0000  2 Y 2.86
Ca 0.0000 0.0000 0.5000  2 Y 2.86
Ca 0.5000 0.0000 0.0000  2 Y 2.86
Zr 0.5000 0.5000 0.5000  12 Ca 4.04